1.
Computed, not measured: a relaxed NdPt2O4 crystal at the PBE level of DFT.

## Properties
The space group is P-1.

a b c (Å): 8.3497 6.9759 5.9741
angles (deg): 98.81 109.91 127.97
With the nearest neighbours (Å) after each atom.
Fractional positions:
O (0.8793, 0.6340, 0.1650)  2 Pt 2.06-2.08
O (0.8357, 0.6327, 0.6467)  2 Pt 1.97-1.98
O (0.9642, 0.2191, 0.3351)  2 Pt 2.06-2.08
Pt (0.6250, 0.3750, 0.2500)  4 O 1.98-2.08
Pt (0.6251, 0.3751, 0.7500)  4 O 1.97-2.06
O (0.3708, 0.1162, 0.3350)  2 Pt 2.06-2.08
Nd (0.0288, 0.0291, 0.0586)  6 O 2.37-2.53
O (0.8105, 0.0148, 0.6471)  2 Pt 1.97-1.98
O (0.2857, 0.5307, 0.1649)  2 Pt 2.06-2.08
O (0.4393, 0.7350, 0.8529)  2 Pt 1.97-1.98
Nd (0.2212, 0.7209, 0.4415)  6 O 2.37-2.53
O (0.4144, 0.1174, 0.8532)  2 Pt 1.97-1.98
Pt (0.1249, 0.3749, 0.7500)  4 O 1.97-2.06
Pt (0.6250, 0.8750, 0.2500)  4 O 1.98-2.08

2.
Computed, not measured: a relaxed NdPt2O6 crystal at the PBE level of DFT.

## Properties
The space group is P-31m.

a b c (Å): 5.0380 5.3198 5.3198
angles (deg): 120.00 90.00 90.00
With the nearest neighbours (Å) after each atom.
Fractional positions:
O (0.7156, 0.0000, 0.3610)  2 Pt 2.02
O (0.2844, 0.0000, 0.6390)  2 Pt 2.02
Pt (0.5000, 0.3333, 0.6667)  6 O 2.02
Pt (0.5000, 0.6667, 0.3333)  6 O 2.02
Nd (0.0000, 0.0000, 0.0000)  6 O 2.40
O (0.7156, 0.6390, 0.6390)  2 Pt 2.02
O (0.2844, 0.3610, 0.3610)  2 Pt 2.02
O (0.2844, 0.6390, 0.0000)  2 Pt 2.02
O (0.7156, 0.3610, 0.0000)  2 Pt 2.02

3.
Computed, not measured: a relaxed Nd12Pt5O3 crystal at the PBE level of DFT.

## Properties
The space group is Ia-3d.

a b c (Å): 14.2771 14.2771 14.2771
angles (deg): 109.47 109.47 109.47
With the nearest neighbours (Å) after each atom.
Fractional positions:
O (0.6250, 0.2500, 0.3750)  4 Nd 2.69
Nd (0.6699, 0.2350, 0.6155)  1 O 2.69, 2 Pt 2.82-2.84
Nd (0.5650, 0.2350, 0.1194)  1 O 2.69, 2 Pt 2.82-2.84
Pt (0.6250, 0.8750, 0.2500)  4 Nd 2.82
Nd (0.9456, 0.8301, 0.5650)  1 O 2.69, 2 Pt 2.82-2.84
Nd (0.1194, 0.7350, 0.5650)  1 O 2.69, 2 Pt 2.82-2.84
O (0.1250, 0.8750, 0.7500)  4 Nd 2.69
Nd (0.4456, 0.3806, 0.6155)  1 O 2.69, 2 Pt 2.82-2.84
Nd (0.5544, 0.6194, 0.3845)  1 O 2.69, 2 Pt 2.82-2.84
Pt (0.0000, 0.5000, 0.0000)  6 Nd 2.84
Pt (0.6250, 0.7500, 0.8750)  4 Nd 2.82
Nd (0.4350, 0.6699, 0.0544)  1 O 2.69, 2 Pt 2.82-2.84
Pt (0.5000, 0.5000, 0.0000)  6 Nd 2.84
Nd (0.0544, 0.1699, 0.4350)  1 O 2.69, 2 Pt 2.82-2.84
Nd (0.1699, 0.1155, 0.7350)  1 O 2.69, 2 Pt 2.82-2.84
Nd (0.7350, 0.1194, 0.0650)  1 O 2.69, 2 Pt 2.82-2.84
Nd (0.2650, 0.8806, 0.9350)  1 O 2.69, 2 Pt 2.82-2.84
Pt (0.5000, 0.0000, 0.0000)  6 Nd 2.84
Nd (0.8845, 0.0544, 0.6194)  1 O 2.69, 2 Pt 2.82-2.84
Nd (0.2650, 0.3845, 0.8301)  1 O 2.69, 2 Pt 2.82-2.84
Nd (0.8806, 0.2650, 0.4350)  1 O 2.69, 2 Pt 2.82-2.84
O (0.2500, 0.1250, 0.3750)  4 Nd 2.69
Pt (0.7500, 0.1250, 0.8750)  4 Nd 2.82
Nd (0.7650, 0.4350, 0.3806)  1 O 2.69, 2 Pt 2.82-2.84
Pt (0.0000, 0.5000, 0.5000)  6 Nd 2.84
Pt (0.7500, 0.6250, 0.3750)  4 Nd 2.82
Nd (0.9350, 0.3806, 0.2650)  1 O 2.69, 2 Pt 2.82-2.84
Nd (0.6194, 0.0650, 0.2350)  1 O 2.69, 2 Pt 2.82-2.84
Pt (0.3750, 0.1250, 0.7500)  4 Nd 2.82
Nd (0.0544, 0.8845, 0.1194)  1 O 2.69, 2 Pt 2.82-2.84
Nd (0.8845, 0.8301, 0.7650)  1 O 2.69, 2 Pt 2.82-2.84
O (0.7500, 0.8750, 0.6250)  4 Nd 2.69
Nd (0.3301, 0.5650, 0.4456)  1 O 2.69, 2 Pt 2.82-2.84
Nd (0.4456, 0.0650, 0.3301)  1 O 2.69, 2 Pt 2.82-2.84
Nd (0.8301, 0.9456, 0.0650)  1 O 2.69, 2 Pt 2.82-2.84
Pt (0.0000, 0.0000, 0.5000)  6 Nd 2.84
Pt (0.5000, 0.5000, 0.5000)  6 Nd 2.84
Nd (0.3806, 0.4456, 0.1155)  1 O 2.69, 2 Pt 2.82-2.84
Pt (0.1250, 0.7500, 0.3750)  4 Nd 2.82
Nd (0.1194, 0.3845, 0.0544)  1 O 2.69, 2 Pt 2.82-2.84
O (0.1250, 0.2500, 0.8750)  4 Nd 2.69
Nd (0.3806, 0.9350, 0.7650)  1 O 2.69, 2 Pt 2.82-2.84
Nd (0.1155, 0.9456, 0.3806)  1 O 2.69, 2 Pt 2.82-2.84
Nd (0.6155, 0.7350, 0.6699)  1 O 2.69, 2 Pt 2.82-2.84
Pt (0.2500, 0.8750, 0.1250)  4 Nd 2.82
Nd (0.6194, 0.5544, 0.8845)  1 O 2.69, 2 Pt 2.82-2.84
O (0.3750, 0.6250, 0.2500)  4 Nd 2.69
Pt (0.5000, 0.0000, 0.5000)  6 Nd 2.84
Nd (0.6155, 0.8806, 0.4456)  1 O 2.69, 2 Pt 2.82-2.84
Nd (0.7350, 0.6155, 0.1699)  1 O 2.69, 2 Pt 2.82-2.84
Nd (0.8301, 0.8845, 0.2650)  1 O 2.69, 2 Pt 2.82-2.84
Nd (0.9456, 0.1155, 0.8806)  1 O 2.69, 2 Pt 2.82-2.84
O (0.7500, 0.3750, 0.1250)  4 Nd 2.69
Nd (0.3845, 0.2650, 0.3301)  1 O 2.69, 2 Pt 2.82-2.84
O (0.8750, 0.7500, 0.1250)  4 Nd 2.69
Pt (0.8750, 0.6250, 0.7500)  4 Nd 2.82
Nd (0.1699, 0.0544, 0.9350)  1 O 2.69, 2 Pt 2.82-2.84
Nd (0.6699, 0.4350, 0.5544)  1 O 2.69, 2 Pt 2.82-2.84
O (0.2500, 0.6250, 0.8750)  4 Nd 2.69
Nd (0.2350, 0.5650, 0.6194)  1 O 2.69, 2 Pt 2.82-2.84
Pt (0.0000, 0.0000, 0.0000)  6 Nd 2.84
Pt (0.1250, 0.3750, 0.2500)  4 Nd 2.82
Nd (0.5544, 0.9350, 0.6699)  1 O 2.69, 2 Pt 2.82-2.84
Pt (0.2500, 0.3750, 0.6250)  4 Nd 2.82
Nd (0.4350, 0.7650, 0.8806)  1 O 2.69, 2 Pt 2.82-2.84
O (0.3750, 0.7500, 0.6250)  4 Nd 2.69
Nd (0.0650, 0.6194, 0.7350)  1 O 2.69, 2 Pt 2.82-2.84
Nd (0.1155, 0.1699, 0.2350)  1 O 2.69, 2 Pt 2.82-2.84
Nd (0.3301, 0.7650, 0.3845)  1 O 2.69, 2 Pt 2.82-2.84
Nd (0.7650, 0.3301, 0.8845)  1 O 2.69, 2 Pt 2.82-2.84
O (0.8750, 0.1250, 0.2500)  4 Nd 2.69
Pt (0.3750, 0.2500, 0.1250)  4 Nd 2.82
O (0.6250, 0.3750, 0.7500)  4 Nd 2.69
Pt (0.8750, 0.2500, 0.6250)  4 Nd 2.82
Nd (0.8806, 0.6155, 0.9456)  1 O 2.69, 2 Pt 2.82-2.84
Nd (0.9350, 0.5544, 0.1699)  1 O 2.69, 2 Pt 2.82-2.84
Nd (0.0650, 0.4456, 0.8301)  1 O 2.69, 2 Pt 2.82-2.84
Nd (0.2350, 0.6699, 0.1155)  1 O 2.69, 2 Pt 2.82-2.84
Nd (0.5650, 0.3301, 0.9456)  1 O 2.69, 2 Pt 2.82-2.84
Nd (0.3845, 0.1194, 0.5544)  1 O 2.69, 2 Pt 2.82-2.84

4.
Computed, not measured: a relaxed Nd2Pt2O7 crystal at the PBE level of DFT.

## Properties
The space group is Fd-3m.

a b c (Å): 7.4374 7.4374 7.4374
angles (deg): 60.00 60.00 60.00
With the nearest neighbours (Å) after each atom.
Fractional positions:
Nd (0.6250, 0.6250, 0.6250)  8 O 2.28-2.54
O (0.0395, 0.0395, 0.4605)  2 Pt 2.07
O (0.7500, 0.7500, 0.7500)  4 Nd 2.28
Pt (0.1250, 0.1250, 0.1250)  6 O 2.07
O (0.4605, 0.0395, 0.4605)  2 Pt 2.07
Pt (0.1250, 0.1250, 0.6250)  6 O 2.07
O (0.7895, 0.2105, 0.2105)  2 Pt 2.07
O (0.4605, 0.0395, 0.0395)  2 Pt 2.07
O (0.0395, 0.4605, 0.4605)  2 Pt 2.07
O (0.0395, 0.4605, 0.0395)  2 Pt 2.07
O (0.4605, 0.4605, 0.0395)  2 Pt 2.07
O (0.7895, 0.7895, 0.2105)  2 Pt 2.07
Pt (0.6250, 0.1250, 0.1250)  6 O 2.07
Nd (0.6250, 0.1250, 0.6250)  8 O 2.28-2.54
O (0.2105, 0.2105, 0.7895)  2 Pt 2.07
Nd (0.6250, 0.6250, 0.1250)  8 O 2.28-2.54
O (0.2105, 0.7895, 0.7895)  2 Pt 2.07
O (0.5000, 0.5000, 0.5000)  4 Nd 2.28
O (0.7895, 0.2105, 0.7895)  2 Pt 2.07
Nd (0.1250, 0.6250, 0.6250)  8 O 2.28-2.54
Pt (0.1250, 0.6250, 0.1250)  6 O 2.07
O (0.2105, 0.7895, 0.2105)  2 Pt 2.07

5.
Computed, not measured: a relaxed Nd4Pt6O19 crystal at the PBE level of DFT.

## Properties
The space group is I23.

a b c (Å): 7.8513 7.8513 7.8513
angles (deg): 109.47 109.47 109.47
With the nearest neighbours (Å) after each atom.
Fractional positions:
Pt (0.5000, 0.1594, 0.6594)  6 O 1.99-2.07
O (0.0382, 0.3569, 0.7506)  2 Pt 1.99
O (0.6633, 0.6633, 0.0000)  2 Pt 2.07
O (0.2494, 0.6063, 0.2876)  2 Pt 1.99
Nd (0.0000, 0.0000, 0.6842)  7 O 2.48-2.59
Pt (0.8406, 0.3406, 0.5000)  6 O 1.99-2.07
O (0.6633, 0.0000, 0.6633)  2 Pt 2.07
O (0.6063, 0.2876, 0.2494)  2 Pt 1.99
O (0.0000, 0.0000, 0.0000)  4 Nd 2.48
Pt (0.5000, 0.8406, 0.3406)  6 O 1.99-2.07
Pt (0.6594, 0.5000, 0.1594)  6 O 1.99-2.07
O (0.3187, 0.9618, 0.7124)  2 Pt 1.99
O (0.3367, 0.3367, 0.0000)  2 Pt 2.07
Nd (0.6842, 0.0000, 0.0000)  7 O 2.48-2.59
O (0.0000, 0.3367, 0.3367)  2 Pt 2.07
O (0.0000, 0.6633, 0.6633)  2 Pt 2.07
Pt (0.3406, 0.5000, 0.8406)  6 O 1.99-2.07
O (0.3367, 0.0000, 0.3367)  2 Pt 2.07
O (0.7506, 0.0382, 0.3569)  2 Pt 1.99
O (0.6813, 0.3937, 0.6431)  2 Pt 1.99
O (0.3569, 0.7506, 0.0382)  2 Pt 1.99
Pt (0.1594, 0.6594, 0.5000)  6 O 1.99-2.07
Nd (0.3158, 0.3158, 0.3158)  7 O 2.48-2.59
O (0.3937, 0.6431, 0.6813)  2 Pt 1.99
O (0.2876, 0.2494, 0.6063)  2 Pt 1.99
O (0.6431, 0.6813, 0.3937)  2 Pt 1.99
O (0.7124, 0.3187, 0.9618)  2 Pt 1.99
Nd (0.0000, 0.6842, 0.0000)  7 O 2.48-2.59
O (0.9618, 0.7124, 0.3187)  2 Pt 1.99

6.
Computed, not measured: a relaxed Rb2NdPtO6 crystal at the PBE level of DFT.

## Properties
The space group is Fm-3m.

a b c (Å): 6.1018 6.1018 6.1018
angles (deg): 60.00 60.00 60.00
With the nearest neighbours (Å) after each atom.
Fractional positions:
Rb (0.7500, 0.7500, 0.7500)  12 O 3.06
O (0.7724, 0.2276, 0.7724)  1 Pt 1.96
O (0.7724, 0.7724, 0.2276)  1 Pt 1.96
O (0.7724, 0.2276, 0.2276)  1 Pt 1.96
O (0.2276, 0.2276, 0.7724)  1 Pt 1.96
Rb (0.2500, 0.2500, 0.2500)  12 O 3.06
Pt (0.0000, 0.0000, 0.0000)  6 O 1.96
O (0.2276, 0.7724, 0.2276)  1 Pt 1.96
O (0.2276, 0.7724, 0.7724)  1 Pt 1.96
Nd (0.5000, 0.5000, 0.5000)  6 O 2.35

7.
Computed, not measured: a relaxed Rb2NdPtO4 crystal at the PBE level of DFT.

## Properties
The space group is Fddd.

a b c (Å): 6.3654 7.9468 12.4746
angles (deg): 84.14 75.22 66.39
With the nearest neighbours (Å) after each atom.
Fractional positions:
Rb (0.9418, 0.5000, 0.1164)  2 O 2.63
O (0.1221, 0.3054, 0.4999)  1 Pt 2.02, 1 Nd 2.25
Rb (0.1918, 0.0000, 0.6164)  2 O 2.63
O (0.3721, 0.8054, 0.0001)  1 Pt 2.02, 1 Nd 2.25
O (0.6279, 0.1946, 0.0001)  1 Pt 2.02, 1 Nd 2.25
Pt (0.2500, 0.5000, 0.5000)  4 O 2.02
Nd (0.7500, 0.5000, 0.5000)  4 O 2.25
O (0.8225, 0.8054, 0.9999)  1 Pt 2.02, 1 Nd 2.25
Nd (0.0000, 0.0000, 0.0000)  4 O 2.25
O (0.5725, 0.3054, 0.5001)  1 Pt 2.02, 1 Nd 2.25
O (0.9275, 0.6946, 0.5001)  1 Pt 2.02, 1 Nd 2.25
Rb (0.5582, 0.5000, 0.8836)  2 O 2.63
Rb (0.8082, 0.0000, 0.3836)  2 O 2.63
Pt (0.5000, 0.0000, 0.0000)  4 O 2.02
O (0.1775, 0.1946, 0.9999)  1 Pt 2.02, 1 Nd 2.25
O (0.3779, 0.6946, 0.4999)  1 Pt 2.02, 1 Nd 2.25

| no. | magnetic moment (μB/atom) | E (eV per atom) |
| --- | --- | --- |
| 1 | 0.0001 | -6.5788 |
| 2 | 0.0807 | -6.4572 |
| 3 | 0.0000 | -5.7307 |
| 4 | 0.0000 | -7.0246 |
| 5 | 0.0383 | -6.6645 |
| 6 | 0.2930 | -5.6449 |
| 7 | 0.1221 | -5.4053 |